! PBE-GGA AcPr4Sb5, relaxed; values from VASP
&SYSTEM
  ibrav = 0, nat = 10, ntyp = 3
/
ATOMIC_SPECIES
Ac 227.00 Ac.upf
Pr 140.91 Pr.upf
Sb 121.76 Sb.upf
CELL_PARAMETERS angstrom
-2.304 3.260 11.518
2.304 -3.260 11.518
2.304 3.260 -11.518
ATOMIC_POSITIONS crystal
Ac 0.000 0.000 0.000
Pr 0.202 0.202 0.000
Pr 0.399 0.399 0.000
Pr 0.601 0.601 0.000
Pr 0.798 0.798 0.000
Sb 0.105 0.605 0.500
Sb 0.301 0.801 0.500
Sb 0.500 0.000 0.500
Sb 0.699 0.199 0.500
Sb 0.895 0.395 0.500
! DFT total energy   -5.57 eV per atom
! Volume   346 Å³/cell
! Total magnetization   0.0 μB/cell
! Energy relative to the elements, uncorrected   -1.1858 eV per atom